Material: La2MnHgC
Method: DFT, GGA-PBE
State: optimized geometry

Cell: 5.4490 5.4490 3.8421 Å, 90.00 90.00 90.00°
With the nearest neighbours (Å) after each atom.
Fractional positions:
La (0.0000, 0.5000, 0.0000)  2 C 2.72
La (0.5000, 0.0000, 0.0000)  2 C 2.72
Mn (0.0000, 0.0000, 0.5000)  2 C 1.92
C (0.0000, 0.0000, 0.0000)  2 Mn 1.92
Hg (0.5000, 0.5000, 0.5000)  8 La 3.33

Results
The formation enthalpy at 0 K is -1.14 eV per formula unit. The energy comes out at -5.94 eV/atom.


Material: NdPbS2
Method: DFT, GGA-PBE
State: optimized geometry

Cell: 4.0935 4.0935 9.0772 Å, 76.97 76.97 60.00°
With the nearest neighbours (Å) after each atom.
Fractional positions:
S (0.1080, 0.1080, 0.6760)  3 Nd 2.82, 1 Pb 2.84
S (0.8920, 0.8920, 0.3240)  3 Nd 2.82, 1 Pb 2.84
Nd (0.5000, 0.5000, 0.5000)  6 S 2.82
Pb (0.0000, 0.0000, 0.0000)  2 S 2.84

Results
As for the uncorrected formation energy: -1.23 eV/atom. The relative energy among the computed polymorphs is 38 meV/atom. The energy comes out at -5.41 eV/atom.


Material: KScIr2
Method: DFT, GGA-PBE
State: optimized geometry

Cell: 4.7038 4.7038 3.4230 Å, 90.00 90.00 90.00°
With the nearest neighbours (Å) after each atom.
Fractional positions:
Ir (0.5000, 0.5000, 0.0000)  4 K 2.91, 4 Sc 2.91
Ir (0.0000, 0.0000, 0.0000)  4 K 2.91, 4 Sc 2.91
K (0.5000, 0.0000, 0.5000)  8 Ir 2.91
Sc (0.0000, 0.5000, 0.5000)  8 Ir 2.91

Results
The formation enthalpy at 0 K is 2.12 eV per formula unit. The relative energy among the computed polymorphs is 563 meV/atom. The energy comes out at -5.76 eV/atom.